DFT (PBE) results for a geometry-optimized LaPdS2 structure.

Raw formation energy   -1.12 eV/atom
ΔE to the lowest computed polymorph   0 meV per atom
Final energy   -5.712 eV per atom
ρ   5.1 g cm⁻³
Calculated volume   25.01 A^3/atom
Space group   I-42d
N(E_F)   9.5 states/eV per cell

Lattice parameters (Å, degrees): 5.2536 5.2536 8.1460 71.19 71.19 90.00
Closest atoms and distances in Å follow each position.
Element x y z (fractional)
S (0.5642, 0.1250, 0.2500)  2 Pd 2.45
S (0.1858, 0.6250, 0.2500)  2 Pd 2.45
S (0.3750, 0.4358, 0.7500)  2 Pd 2.45
S (0.8750, 0.8142, 0.7500)  2 Pd 2.45
Pd (0.5000, 0.5000, 0.0000)  4 S 2.45
Pd (0.2500, 0.7500, 0.5000)  4 S 2.45
La (0.0000, 0.0000, 0.0000)  4 S 2.77
La (0.7500, 0.2500, 0.5000)  4 S 2.77

***

DFT (PBE) results for a geometry-optimized La3PdS structure.

Raw formation energy   -0.67 eV/atom
ΔE to the lowest computed polymorph   0 meV per atom
Final energy   -5.494 eV per atom
ρ   5.8 g cm⁻³
Calculated volume   32.00 A^3/atom
Space group   Pm-3m
N(E_F)   7.6 states/eV per cell

Lattice parameters (Å, degrees): 5.4289 5.4289 5.4289 90.00 90.00 90.00
Closest atoms and distances in Å follow each position.
Element x y z (fractional)
S (0.0000, 0.0000, 0.0000)  6 La 2.71
Pd (0.5000, 0.5000, 0.5000)  12 La 3.84
La (0.0000, 0.5000, 0.0000)  2 S 2.71
La (0.0000, 0.0000, 0.5000)  2 S 2.71
La (0.5000, 0.0000, 0.0000)  2 S 2.71

***

DFT (PBE) results for a geometry-optimized La2PdS structure.

Raw formation energy   -1.36 eV/atom
Final energy   -6.158 eV per atom
ρ   6.4 g cm⁻³
Calculated volume   27.07 A^3/atom
Space group   R-3m
N(E_F)   3.5 states/eV per cell

Lattice parameters (Å, degrees): 4.1322 4.1322 7.7019 74.44 74.44 60.00
Closest atoms and distances in Å follow each position.
Element x y z (fractional)
S (0.0000, 0.0000, 0.0000)  6 La 3.00
Pd (0.5000, 0.5000, 0.5000)  6 La 3.01
La (0.2505, 0.2505, 0.2485)  3 S 3.00, 3 Pd 3.01
La (0.7495, 0.7495, 0.7515)  3 S 3.00, 3 Pd 3.01

***

DFT (PBE) results for a geometry-optimized La2PdS structure.

Raw formation energy   -1.28 eV/atom
Final energy   -6.073 eV per atom
ρ   6.3 g cm⁻³
Calculated volume   27.45 A^3/atom
Space group   R3m
N(E_F)   3.2 states/eV per cell

Lattice parameters (Å, degrees): 4.0871 4.0871 7.9493 75.10 75.10 60.00
Closest atoms and distances in Å follow each position.
Element x y z (fractional)
La (0.0800, 0.0800, 0.7599)  3 Pd 2.97, 3 S 3.06
La (0.2536, 0.2536, 0.2393)  3 Pd 2.99, 3 S 3.09
Pd (0.6674, 0.6674, 0.9979)  6 La 2.97-2.99
S (0.4991, 0.4991, 0.5028)  6 La 3.06-3.09

***

DFT (PBE) results for a geometry-optimized LaScPdS3 structure.

Raw formation energy   -1.69 eV/atom
Final energy   -6.498 eV per atom
ρ   5.3 g cm⁻³
Calculated volume   20.34 A^3/atom
Space group   P2_1/m
N(E_F)   1.5 states/eV per cell

Lattice parameters (Å, degrees): 3.8572 7.4923 8.7659 105.48 90.00 90.00
Closest atoms and distances in Å follow each position.
Element x y z (fractional)
La (0.2500, 0.2190, 0.2665)  6 S 2.91-2.96, 1 Pd 3.10
La (0.7500, 0.7810, 0.7335)  6 S 2.91-2.96, 1 Pd 3.10
Sc (0.2500, 0.6859, 0.1706)  6 S 2.57-2.67
Sc (0.7500, 0.3141, 0.8294)  6 S 2.57-2.67
Pd (0.2500, 0.1235, 0.5891)  3 S 2.46-2.48
Pd (0.7500, 0.8765, 0.4109)  3 S 2.46-2.48
S (0.7500, 0.9154, 0.1391)  1 Pd 2.48, 2 Sc 2.65
S (0.2500, 0.0846, 0.8609)  1 Pd 2.48, 2 Sc 2.65
S (0.2500, 0.6995, 0.4672)  2 Pd 2.46, 1 Sc 2.57
S (0.7500, 0.3005, 0.5328)  2 Pd 2.46, 1 Sc 2.57
S (0.7500, 0.4323, 0.1385)  3 Sc 2.62-2.67, 2 La 2.91
S (0.2500, 0.5677, 0.8615)  3 Sc 2.62-2.67, 2 La 2.91

***

DFT (PBE) results for a geometry-optimized LaSnPdS2 structure.

Raw formation energy   -0.19 eV/atom
Final energy   -4.667 eV per atom
ρ   4.6 g cm⁻³
Calculated volume   31.08 A^3/atom
Space group   P4/mmm
N(E_F)   1.6 states/eV per cell

Lattice parameters (Å, degrees): 5.4796 5.1748 5.4796 90.00 90.00 90.00
Closest atoms and distances in Å follow each position.
Element x y z (fractional)
S (0.0000, 0.0000, 0.5000)  2 La 2.74
S (0.5000, 0.0000, 0.0000)  2 La 2.74
Sn (0.5000, 0.5000, 0.5000)  8 S 3.77, 4 Pd 3.87
Pd (0.0000, 0.5000, 0.0000)  2 La 2.59
La (0.0000, 0.0000, 0.0000)  2 Pd 2.59, 4 S 2.74

***

DFT (PBE) results for a geometry-optimized La2UPdS6 structure.

Raw formation energy   -1.48 eV/atom
Final energy   -6.592 eV per atom
ρ   5.4 g cm⁻³
Calculated volume   24.86 A^3/atom
Space group   C2/m
N(E_F)   1.9 states/eV per cell

Lattice parameters (Å, degrees): 6.8358 6.6608 7.3402 116.98 119.39 90.00
Closest atoms and distances in Å follow each position.
Element x y z (fractional)
La (0.2196, 0.2583, 0.5165)  5 S 2.81-2.94
La (0.7804, 0.7417, 0.4835)  5 S 2.81-2.94
U (0.0000, 0.5000, 0.0000)  6 S 2.59-2.64
Pd (0.5000, 0.0000, 0.0000)  4 S 2.41
S (0.3537, 0.7261, 0.4522)  1 U 2.59, 1 La 2.81
S (0.1852, 0.1638, 0.8494)  1 Pd 2.41, 1 U 2.64
S (0.8148, 0.3144, 0.1506)  1 Pd 2.41, 1 U 2.64
S (0.1852, 0.6856, 0.8494)  1 Pd 2.41, 1 U 2.64
S (0.8148, 0.8362, 0.1506)  1 Pd 2.41, 1 U 2.64
S (0.6463, 0.2739, 0.5478)  1 U 2.59, 1 La 2.81

***

DFT (PBE) results for a geometry-optimized LaU3Pd4S12 structure.

Raw formation energy   -0.81 eV/atom
Final energy   -6.269 eV per atom
ρ   5.5 g cm⁻³
Calculated volume   25.17 A^3/atom
Space group   R32
N(E_F)   12.3 states/eV per cell

Lattice parameters (Å, degrees): 8.3696 8.3696 8.3696 105.79 105.79 105.79
Closest atoms and distances in Å follow each position.
Element x y z (fractional)
La (0.0000, 0.0000, 0.0000)  6 S 2.96
U (0.5660, 0.4340, 0.0000)  6 S 2.52-2.64
U (0.4340, 0.0000, 0.5660)  6 S 2.52-2.64
U (0.0000, 0.5660, 0.4340)  6 S 2.52-2.64
Pd (0.9102, 0.0898, 0.5000)  3 S 2.30-2.38
Pd (0.0898, 0.5000, 0.9102)  3 S 2.30-2.38
Pd (0.5000, 0.9102, 0.0898)  3 S 2.30-2.38
Pd (0.5000, 0.5000, 0.5000)  3 S 2.25
S (0.5000, 0.3318, 0.6682)  1 Pd 2.25
S (0.9118, 0.5000, 0.0882)  1 Pd 2.38, 2 U 2.64
S (0.0882, 0.9118, 0.5000)  1 Pd 2.38, 2 U 2.64
S (0.5000, 0.0882, 0.9118)  1 Pd 2.38, 2 U 2.64
S (0.3220, 0.9842, 0.2413)  1 Pd 2.30, 1 U 2.58
S (0.2413, 0.3220, 0.9842)  1 Pd 2.30, 1 U 2.58
S (0.9842, 0.2413, 0.3220)  1 Pd 2.30, 1 U 2.58
S (0.6780, 0.7587, 0.0158)  1 Pd 2.30, 1 U 2.58
S (0.0158, 0.6780, 0.7587)  1 Pd 2.30, 1 U 2.58
S (0.7587, 0.0158, 0.6780)  1 Pd 2.30, 1 U 2.58
S (0.6682, 0.5000, 0.3318)  1 Pd 2.25
S (0.3318, 0.6682, 0.5000)  1 Pd 2.25

***

DFT (PBE) results for a geometry-optimized La2UPdS5 structure.

Raw formation energy   -1.65 eV/atom
Final energy   -6.867 eV per atom
ρ   6.5 g cm⁻³
Calculated volume   22.37 A^3/atom
Space group   Cmc2_1
N(E_F)   12.7 states/eV per cell

Lattice parameters (Å, degrees): 3.9747 8.4772 12.2934 90.00 90.00 103.56
Closest atoms and distances in Å follow each position.
Element x y z (fractional)
La (0.8908, 0.7815, 0.8504)  8 S 2.93-3.25
La (0.1175, 0.2351, 0.6977)  8 S 2.90-3.19
La (0.1092, 0.2185, 0.3504)  8 S 2.93-3.25
La (0.8825, 0.7649, 0.1977)  8 S 2.90-3.19
U (0.8197, 0.6394, 0.5241)  6 S 2.65-2.77
U (0.1803, 0.3606, 0.0241)  6 S 2.65-2.77
Pd (0.5568, 0.1135, 0.9180)  4 S 2.39-2.44
Pd (0.4432, 0.8865, 0.4180)  4 S 2.39-2.44
S (0.3448, 0.6895, 0.0225)  1 U 2.71, 4 La 3.00
S (0.6994, 0.3988, 0.8690)  1 Pd 2.43
S (0.4940, 0.9879, 0.7429)  1 Pd 2.39
S (0.3027, 0.6055, 0.6779)  2 U 2.76, 1 La 3.06
S (0.9804, 0.9609, 0.5215)  2 Pd 2.44, 1 U 2.65
S (0.6552, 0.3105, 0.5225)  1 U 2.71, 4 La 3.00
S (0.3006, 0.6012, 0.3690)  1 Pd 2.43
S (0.5060, 0.0121, 0.2429)  1 Pd 2.39
S (0.6973, 0.3945, 0.1779)  2 U 2.76, 1 La 3.06
S (0.0196, 0.0391, 0.0215)  2 Pd 2.44, 1 U 2.65

***

DFT (PBE) results for a geometry-optimized LaU2PdS5 structure.

Raw formation energy   -1.39 eV/atom
Final energy   -7.313 eV per atom
ρ   8.3 g cm⁻³
Calculated volume   19.66 A^3/atom
Space group   I4/mcm
N(E_F)   8.3 states/eV per cell

Lattice parameters (Å, degrees): 7.3261 7.3261 8.3860 115.90 115.90 90.00
Closest atoms and distances in Å follow each position.
Element x y z (fractional)
La (0.2500, 0.2500, 0.5000)  10 S 3.09-3.30
La (0.7500, 0.7500, 0.5000)  10 S 3.09-3.30
U (0.1191, 0.3809, 0.0000)  1 U 2.47, 2 S 2.76
U (0.6191, 0.1191, 0.0000)  1 U 2.47, 2 S 2.76
U (0.3809, 0.8809, 0.0000)  1 U 2.47, 2 S 2.76
U (0.8809, 0.6191, 0.0000)  1 U 2.47, 2 S 2.76
Pd (0.2500, 0.7500, 0.5000)  4 S 2.39
Pd (0.7500, 0.2500, 0.5000)  4 S 2.39
S (0.9573, 0.4573, 0.2719)  1 Pd 2.39
S (0.6854, 0.1854, 0.7281)  1 Pd 2.39
S (0.0427, 0.5427, 0.7281)  1 Pd 2.39
S (0.1854, 0.0427, 0.7281)  1 Pd 2.39
S (0.5427, 0.6854, 0.7281)  1 Pd 2.39
S (0.8146, 0.9573, 0.2719)  1 Pd 2.39
S (0.4573, 0.3146, 0.2719)  1 Pd 2.39
S (0.3146, 0.8146, 0.2719)  1 Pd 2.39
S (0.5000, 0.5000, 0.0000)  4 U 2.92, 8 S 3.24
S (0.0000, 0.0000, 0.0000)  4 U 2.92, 8 S 3.24